Here is a geometry-optimized Sr2TlRhC structure from Alexandria via LeMat-Bulk. Energies are from PBE-GGA.

Cell: 5.591 5.591 3.933 Å, 90.00 90.00 90.00°
Atoms (fractional coordinates):
Sr 0.000 0.500 0.000
Sr 0.500 0.000 0.000
Tl 0.000 0.000 0.500
Rh 0.500 0.500 0.500
C 0.500 0.500 0.000

Properties
calculated formation energy: -70 kJ/mol of formula units
symmetry: P4/mmm (123)
D(E_F): 0.3631 states/eV/atom
total magnetization: 0.000 μB/cell